Record 1
The following is a DFT calculation (GGA-PBE) of UCoNiRh after structural relaxation.

Properties
Formation energy from the elements   -416.2 meV/atom
Total magnetic moment   0.000 μB per atom
Uncorrected energy   -33.19 eV for the cell shown
Space group   Pmmm, No. 47

a = 3.791 Å, b = 3.830 Å, c = 3.988 Å
α = 90.00°, β = 90.00°, γ = 90.00°
Fractional positions:
U 0.000 0.000 0.000
Co 0.500 0.500 0.000
Ni 0.000 0.500 0.500
Rh 0.500 0.000 0.500

Record 2
The following is a DFT calculation (GGA-PBE) of SmNbGa after structural relaxation.

Properties
Formation energy from the elements   -352.1 meV/atom
Total magnetic moment   0.000 μB per atom
Uncorrected energy   -37.74 eV for the cell shown
Space group   P4/nmm, No. 129

a = 4.073 Å, b = 4.073 Å, c = 8.312 Å
α = 90.00°, β = 90.00°, γ = 90.00°
Fractional positions:
Sm 0.250 0.250 0.159
Sm 0.750 0.750 0.841
Nb 0.250 0.750 0.500
Nb 0.750 0.250 0.500
Ga 0.250 0.250 0.736
Ga 0.750 0.750 0.264

Record 3
The following is a DFT calculation (GGA-PBE) of Lu2HfTh after structural relaxation.

Properties
Formation energy from the elements   87.7 meV/atom
Total magnetic moment   0.001 μB per atom
Uncorrected energy   -26.06 eV for the cell shown
Space group   P4/mmm, No. 123

a = 4.758 Å, b = 4.758 Å, c = 4.908 Å
α = 90.00°, β = 90.00°, γ = 90.00°
Fractional positions:
Lu 0.000 0.500 0.000
Lu 0.500 0.000 0.000
Hf 0.000 0.000 0.500
Th 0.500 0.500 0.500

Record 4
The following is a DFT calculation (GGA-PBE) of NdHo7In2 after structural relaxation.

Properties
Formation energy from the elements   347.3 meV/atom
Total magnetic moment   0.209 μB per atom
Uncorrected energy   -38.82 eV for the cell shown
Space group   Cmmm, No. 65

a = 8.845 Å, b = 8.845 Å, c = 5.526 Å
α = 90.00°, β = 90.00°, γ = 118.09°
Fractional positions:
Nd 0.000 0.000 0.000
Ho 0.058 0.303 0.500
Ho 0.234 0.766 0.000
Ho 0.303 0.058 0.500
Ho 0.500 0.500 0.500
Ho 0.697 0.942 0.500
Ho 0.766 0.234 0.000
Ho 0.942 0.697 0.500
In 0.303 0.697 0.500
In 0.697 0.303 0.500

Record 5
The following is a DFT calculation (GGA-PBE) of MgBe2Zn after structural relaxation.

Properties
Formation energy from the elements   301.9 meV/atom
Total magnetic moment   0.000 μB per atom
Uncorrected energy   -9.11 eV for the cell shown
Space group   Fm-3m, No. 225

a = 4.138 Å, b = 4.138 Å, c = 4.138 Å
α = 60.00°, β = 60.00°, γ = 60.00°
Fractional positions:
Mg 0.000 0.000 0.000
Be 0.250 0.250 0.250
Be 0.750 0.750 0.750
Zn 0.500 0.500 0.500

Record 6
The following is a DFT calculation (GGA-PBE) of Mg7AlPb2 after structural relaxation.

Properties
Formation energy from the elements   405.4 meV/atom
Total magnetic moment   0.000 μB per atom
Uncorrected energy   -18.27 eV for the cell shown
Space group   Fm-3m, No. 225

a = 7.417 Å, b = 7.417 Å, c = 7.417 Å
α = 60.00°, β = 60.00°, γ = 60.00°
Fractional positions:
Mg 0.000 0.000 0.000
Mg 0.253 0.253 0.747
Mg 0.253 0.747 0.253
Mg 0.253 0.747 0.747
Mg 0.747 0.253 0.253
Mg 0.747 0.253 0.747
Mg 0.747 0.747 0.253
Al 0.500 0.500 0.500
Pb 0.250 0.250 0.250
Pb 0.750 0.750 0.750